[1]
This record from OQMD via LeMat-Bulk describes crystalline TaNb2W at its relaxed geometry. The functional is GGA-PBE.

```
4
Lattice="1.603 3.398 2.708 -2.471 1.409 3.655 1.462 -0.953 4.290" Properties=species:S:1:pos:R:3 pbc="T T T"
W 0.297 1.927 5.327
Nb 0.148 0.964 2.663
Nb 0.000 0.000 0.000
Ta 0.445 2.891 7.990
```

For the volume, the calculation gives 17.563 A^3/atom. The value obtained for the energy of formation is -0.03 eV/atom. The magnetic moment is 0.01 Bohr magnetons per cell.


[2]
This record from OQMD via LeMat-Bulk describes crystalline TaNb2Zn at its relaxed geometry. The functional is GGA-PBE.

```
4
Lattice="3.504 2.337 1.885 -0.849 3.514 2.868 0.901 -0.429 4.505" Properties=species:S:1:pos:R:3 pbc="T T T"
Ta 0.889 1.355 2.315
Nb 0.000 0.000 0.000
Nb 2.667 4.066 6.944
Zn 1.778 2.711 4.629
```

For the volume, the calculation gives 17.368 A^3/atom. The value obtained for the energy of formation is 0.12 eV/atom. The magnetic moment is 0.00 Bohr magnetons per cell.